# LaAl2Tl | Alexandria | PBE | relaxed
# - Density: 6.73 Mg/m³
# - ΔH_f (0 K): -0.25 eV/atom
# - Size of the total moment: 0.00 Bohr magnetons per cell
# - V: 98.00 Å³/f.u.
data_LaAl2Tl
_cell_length_a 4.6492
_cell_length_b 4.6492
_cell_length_c 4.5341
_cell_angle_alpha 90.00
_cell_angle_beta 90.00
_cell_angle_gamma 90.00
_space_group_name_H-M_alt 'P 4/m m m'
_space_group_IT_number 123
_space_group_name_Hall '-P 4 2'
loop_
_atom_site_label
_atom_site_type_symbol
_atom_site_fract_x
_atom_site_fract_y
_atom_site_fract_z
La1 La 0.0000 0.0000 0.0000
Al1 Al 0.0000 0.5000 0.5000
Tl1 Tl 0.5000 0.5000 0.0000



# Pm6NdCd | Alexandria | PBE | relaxed
# - Density: 7.18 Mg/m³
# - ΔH_f (0 K): -0.03 eV/atom
# - Size of the total moment: 0.00 Bohr magnetons per cell
# - V: 260.59 Å³/f.u.
data_Pm6NdCd
_cell_length_a 5.0130
_cell_length_b 5.0130
_cell_length_c 20.7392
_cell_angle_alpha 90.00
_cell_angle_beta 90.00
_cell_angle_gamma 90.00
_space_group_name_H-M_alt 'I 4/m m m'
_space_group_IT_number 139
_space_group_name_Hall '-I 4 2'
loop_
_atom_site_label
_atom_site_type_symbol
_atom_site_fract_x
_atom_site_fract_y
_atom_site_fract_z
Pm1 Pm 0.0000 0.0000 0.2477
Pm2 Pm 0.0000 0.5000 0.1223
Nd1 Nd 0.0000 0.0000 0.0000
Cd1 Cd 0.0000 0.0000 0.5000



# LaTb2Sb3 | Alexandria | PBE | relaxed
# - Density: 7.15 Mg/m³
# - Size of the total moment: 0.00 Bohr magnetons per cell
# - V: 190.79 Å³/f.u.
# - E_form (uncorrected): -1180 meV per atom
data_LaTb2Sb3
_cell_length_a 4.4819
_cell_length_b 6.3441
_cell_length_c 13.4196
_cell_angle_alpha 90.00
_cell_angle_beta 90.00
_cell_angle_gamma 90.00
_space_group_name_H-M_alt 'I m m m'
_space_group_IT_number 71
_space_group_name_Hall '-I 2 2'
loop_
_atom_site_label
_atom_site_type_symbol
_atom_site_fract_x
_atom_site_fract_y
_atom_site_fract_z
La1 La 0.0000 0.0000 0.0000
Tb1 Tb 0.0000 0.0000 0.3350
Sb1 Sb 0.0000 0.5000 0.0000
Sb2 Sb 0.0000 0.5000 0.3268



# Na6SnAu2 | Alexandria | PBE | relaxed
# - Density: 4.40 Mg/m³
# - ΔH_f (0 K): -0.20 eV/atom
# - Size of the total moment: 0.00 Bohr magnetons per cell
# - V: 245.50 Å³/f.u.
data_Na6SnAu2
_cell_length_a 8.4233
_cell_length_b 8.4233
_cell_length_c 3.9954
_cell_angle_alpha 90.00
_cell_angle_beta 90.00
_cell_angle_gamma 120.00
_space_group_name_H-M_alt 'P -6 2 m'
_space_group_IT_number 189
_space_group_name_Hall 'P -6 -2'
loop_
_atom_site_label
_atom_site_type_symbol
_atom_site_fract_x
_atom_site_fract_y
_atom_site_fract_z
Na1 Na 0.0000 0.2843 0.0000
Na2 Na 0.0000 0.6100 0.5000
Sn1 Sn 0.0000 0.0000 0.5000
Au1 Au 0.3333 0.6667 0.0000